1.
Here is a geometry-optimized SrLa5Sn3 structure from Alexandria via LeMat-Bulk. Energies are from PBE-GGA.

The calculation puts the formation energy at -5.416 eV/f.u. Its space group is P6_3/mcm (193).

Unit cell a=9.850 b=9.850 c=6.998 alpha=90.00 beta=90.00 gamma=120.00
Fractional positions:
Sr 0.000 0.000 0.000
Sr 0.000 0.000 0.500
La 0.000 0.336 0.250
La 0.000 0.664 0.750
La 0.333 0.667 0.000
La 0.333 0.667 0.500
La 0.336 0.000 0.250
La 0.336 0.336 0.750
La 0.664 0.000 0.750
La 0.664 0.664 0.250
La 0.667 0.333 0.000
La 0.667 0.333 0.500
Sn 0.000 0.335 0.750
Sn 0.000 0.665 0.250
Sn 0.335 0.000 0.750
Sn 0.335 0.335 0.250
Sn 0.665 0.000 0.250
Sn 0.665 0.665 0.750

=====

2.
Here is a geometry-optimized KReBiO6 structure from Alexandria via LeMat-Bulk. Energies are from PBE-GGA.

Its space group is P312 (149). Its energy relative to the elements, uncorrected is -1.405 eV/atom.

Unit cell a=5.649 b=5.649 c=5.827 alpha=90.00 beta=90.00 gamma=120.00
Fractional positions:
K 0.000 0.000 0.000
Re 0.667 0.333 0.500
Bi 0.333 0.667 0.500
O 0.420 0.041 0.695
O 0.420 0.379 0.305
O 0.621 0.041 0.305
O 0.621 0.580 0.695
O 0.959 0.379 0.695
O 0.959 0.580 0.305

=====

3.
Here is a geometry-optimized AgHPt2Pb structure from Alexandria via LeMat-Bulk. Energies are from PBE-GGA.

Its space group is P4/mmm (123). The total energy comes out at -4.313 eV/atom.

Unit cell a=4.113 b=4.113 c=4.567 alpha=90.00 beta=90.00 gamma=90.00
Fractional positions:
Ag 0.000 0.000 0.000
H 0.000 0.000 0.500
Pt 0.000 0.500 0.500
Pt 0.500 0.000 0.500
Pb 0.500 0.500 0.000

=====

What are the N(E_F) values for these records? In order: 18.481 3.212 1.821 states/eV/cell.